(1)
A plane-wave DFT calculation with GGA-PBE was carried out for an optimized crystal structure of Cs2AgGeI5.

Results
uncorrected energy: -98.2 eV/cell
magnetic moment: 0.0 Bohr magnetons per cell
formation energy without anion corrections: -0.848 eV per atom

Cell and atoms, written as CIF:
```
data_Cs2AgGeI5
_chemical_formula_sum 'Cs8 Ag4 Ge4 I20'
_cell_length_a 4.721
_cell_length_b 22.777
_cell_length_c 15.380
_cell_angle_alpha 90.00
_cell_angle_beta 90.00
_cell_angle_gamma 90.00
_space_group_name_H-M_alt 'C m c 21'
_space_group_IT_number 36
loop_
_space_group_symop_operation_xyz
'x,y,z'
'-x,-y,z+1/2'
'-x,y,z'
'x,-y,z+1/2'
'x+1/2,y+1/2,z'
'-x+1/2,-y+1/2,z+1/2'
'-x+1/2,y+1/2,z'
'x+1/2,-y+1/2,z+1/2'
loop_
_atom_site_label
_atom_site_type_symbol
_atom_site_fract_x
_atom_site_fract_y
_atom_site_fract_z
Cs1 Cs 0.000 0.114 0.000
Cs2 Cs 0.000 0.127 0.612
Ag1 Ag 0.000 0.430 0.752
Ge1 Ge 0.000 0.211 0.323
I1 I 0.000 0.073 0.355
I2 I 0.000 0.283 0.951
I3 I 0.000 0.301 0.688
I4 I 0.000 0.338 0.308
I5 I 0.000 0.497 0.599
```

***

(2)
A plane-wave DFT calculation with GGA-PBE was carried out for an optimized crystal structure of Li2MgCu2Si4O12.

Results
uncorrected energy: -142.2 eV/cell
magnetic moment: 2.0 Bohr magnetons per cell
formation energy without anion corrections: -2.257 eV per atom

Cell and atoms, written as CIF:
```
data_Li2MgCu2Si4O12
_chemical_formula_sum 'Li2 Mg1 Cu2 Si4 O12'
_cell_length_a 5.262
_cell_length_b 5.791
_cell_length_c 7.550
_cell_angle_alpha 84.33
_cell_angle_beta 80.12
_cell_angle_gamma 82.98
_space_group_name_H-M_alt 'P -1'
_space_group_IT_number 2
loop_
_space_group_symop_operation_xyz
'x,y,z'
'-x,-y,-z'
loop_
_atom_site_label
_atom_site_type_symbol
_atom_site_fract_x
_atom_site_fract_y
_atom_site_fract_z
Li1 Li 0.074 0.245 0.089
Mg1 Mg 0.000 0.000 0.500
Cu1 Cu 0.495 0.834 0.685
Si1 Si 0.220 0.411 0.686
Si2 Si 0.302 0.778 0.128
O1 O 0.076 0.590 0.188
O2 O 0.228 0.000 0.252
O3 O 0.236 0.678 0.599
O4 O 0.264 0.205 0.549
O5 O 0.277 0.863 0.921
O6 O 0.412 0.357 0.843
```

***

(3)
A plane-wave DFT calculation with GGA-PBE was carried out for an optimized crystal structure of Dy3Er4Tl4.

Results
uncorrected energy: -87.7 eV/cell
magnetic moment: 3.0 Bohr magnetons per cell
formation energy from the elements: -0.21 eV per atom

Cell and atoms, written as CIF:
```
data_Dy3Er4Tl4
_chemical_formula_sum 'Dy6 Er8 Tl8'
_cell_length_a 3.693
_cell_length_b 9.541
_cell_length_c 18.318
_cell_angle_alpha 90.00
_cell_angle_beta 90.00
_cell_angle_gamma 90.00
_space_group_name_H-M_alt 'I m m m'
_space_group_IT_number 71
_space_group_name_Hall '-I 2 2'
loop_
_atom_site_label
_atom_site_type_symbol
_atom_site_fract_x
_atom_site_fract_y
_atom_site_fract_z
Dy1 Dy 0.000 0.000 0.000
Dy2 Dy 0.000 0.500 0.098
Er1 Er 0.000 0.306 0.335
Tl1 Tl 0.000 0.000 0.263
Tl2 Tl 0.000 0.221 0.500
```

***

(4)
A plane-wave DFT calculation with GGA-PBE was carried out for an optimized crystal structure of La2SmTmTh.

Results
uncorrected energy: -49.8 eV/cell
magnetic moment: 0.0 Bohr magnetons per cell
formation energy from the elements: 0.31 eV per atom

Cell and atoms, written as CIF:
```
data_La2SmTmTh
_chemical_formula_sum 'La4 Sm2 Tm2 Th2'
_cell_length_a 9.211
_cell_length_b 6.356
_cell_length_c 6.538
_cell_angle_alpha 90.00
_cell_angle_beta 110.44
_cell_angle_gamma 90.00
_space_group_name_H-M_alt 'P 1 2/c 1'
_space_group_IT_number 13
loop_
_space_group_symop_operation_xyz
'x,y,z'
'-x,-y,-z'
'-x,y,-z+1/2'
'x,-y,z+1/2'
loop_
_atom_site_label
_atom_site_type_symbol
_atom_site_fract_x
_atom_site_fract_y
_atom_site_fract_z
La1 La 0.185 0.192 0.342
Sm1 Sm 0.000 0.336 0.750
Tm1 Tm 0.500 0.001 0.750
Th1 Th 0.500 0.500 0.000
```

***

(5)
A plane-wave DFT calculation with GGA-PBE was carried out for an optimized crystal structure of MoHPd2.

Results
uncorrected energy: -86.1 eV/cell
distance to the lowest polymorph of the same formula: 0.763 eV per atom
magnetic moment: 0.0 Bohr magnetons per cell

Cell and atoms, written as CIF:
```
data_MoHPd2
_chemical_formula_sum 'Mo4 H4 Pd8'
_cell_length_a 6.055
_cell_length_b 6.055
_cell_length_c 6.055
_cell_angle_alpha 90.00
_cell_angle_beta 90.00
_cell_angle_gamma 90.00
_space_group_name_H-M_alt 'F m -3 m'
_space_group_IT_number 225
_space_group_name_Hall '-F 4 2 3'
loop_
_atom_site_label
_atom_site_type_symbol
_atom_site_fract_x
_atom_site_fract_y
_atom_site_fract_z
Mo1 Mo 0.000 0.000 0.000
H1 H 0.000 0.000 0.500
Pd1 Pd 0.250 0.250 0.250
```

***

(6)
A plane-wave DFT calculation with GGA-PBE was carried out for an optimized crystal structure of CdRe2Au.

Results
uncorrected energy: -55.3 eV/cell
magnetic moment: 0.0 Bohr magnetons per cell
formation energy from the elements: 0.36 eV per atom

Cell and atoms, written as CIF:
```
data_CdRe2Au
_chemical_formula_sum 'Cd2 Re4 Au2'
_cell_length_a 2.948
_cell_length_b 4.709
_cell_length_c 9.884
_cell_angle_alpha 90.00
_cell_angle_beta 90.00
_cell_angle_gamma 90.00
_space_group_name_H-M_alt 'C m m 2'
_space_group_IT_number 35
loop_
_space_group_symop_operation_xyz
'x,y,z'
'-x,-y,z'
'-x,y,z'
'x,-y,z'
'x+1/2,y+1/2,z'
'-x+1/2,-y+1/2,z'
'-x+1/2,y+1/2,z'
'x+1/2,-y+1/2,z'
loop_
_atom_site_label
_atom_site_type_symbol
_atom_site_fract_x
_atom_site_fract_y
_atom_site_fract_z
Cd1 Cd 0.000 0.000 0.000
Re1 Re 0.000 0.000 0.478
Re2 Re 0.000 0.500 0.263
Au1 Au 0.000 0.500 0.735
```

***

(7)
A plane-wave DFT calculation with GGA-PBE was carried out for an optimized crystal structure of ScCoAs2.

Results
uncorrected energy: -69.7 eV/cell
magnetic moment: 0.0 Bohr magnetons per cell
formation energy from the elements: -0.12 eV per atom

Cell and atoms, written as CIF:
```
data_ScCoAs2
_chemical_formula_sum 'Sc3 Co3 As6'
_cell_length_a 3.2188
_cell_length_b 3.2188
_cell_length_c 23.8720
_cell_angle_alpha 90.00
_cell_angle_beta 90.00
_cell_angle_gamma 120.00
_space_group_name_H-M_alt 'R 3 m'
_space_group_IT_number 160
_space_group_name_Hall 'R 3 -2"'
loop_
_atom_site_label
_atom_site_type_symbol
_atom_site_fract_x
_atom_site_fract_y
_atom_site_fract_z
Sc1 Sc 0.0000 0.0000 0.0000
Co1 Co 0.0000 0.0000 0.7514
As1 As 0.0000 0.0000 0.2450
As2 As 0.0000 0.0000 0.4753
```

***

(8)
A plane-wave DFT calculation with GGA-PBE was carried out for an optimized crystal structure of KLiTlAu.

Results
uncorrected energy: -28.9 eV/cell
magnetic moment: 0.0 Bohr magnetons per cell
formation energy from the elements: -0.25 eV per atom

Cell and atoms, written as CIF:
```
data_KLiTlAu
_chemical_formula_sum 'K3 Li3 Tl3 Au3'
_cell_length_a 4.7688
_cell_length_b 4.7688
_cell_length_c 18.2650
_cell_angle_alpha 90.00
_cell_angle_beta 90.00
_cell_angle_gamma 120.00
_space_group_name_H-M_alt 'R 3 m'
_space_group_IT_number 160
_space_group_name_Hall 'R 3 -2"'
loop_
_atom_site_label
_atom_site_type_symbol
_atom_site_fract_x
_atom_site_fract_y
_atom_site_fract_z
K1 K 0.0000 0.0000 0.0000
Li1 Li 0.0000 0.0000 0.5256
Tl1 Tl 0.0000 0.0000 0.8016
Au1 Au 0.0000 0.0000 0.1934
```

***

(9)
A plane-wave DFT calculation with GGA-PBE was carried out for an optimized crystal structure of YMgCu.

Results
uncorrected energy: -25.4 eV/cell
distance to the lowest polymorph of the same formula: 0.045 eV per atom
magnetic moment: 0.0 Bohr magnetons per cell
formation energy from the elements: -0.17 eV per atom

Cell and atoms, written as CIF:
```
data_YMgCu
_chemical_formula_sum 'Y2 Mg2 Cu2'
_cell_length_a 4.9857
_cell_length_b 4.9857
_cell_length_c 5.9709
_cell_angle_alpha 90.00
_cell_angle_beta 90.00
_cell_angle_gamma 120.00
_space_group_name_H-M_alt 'P 63/m m c'
_space_group_IT_number 194
_space_group_name_Hall '-P 6c 2c'
loop_
_atom_site_label
_atom_site_type_symbol
_atom_site_fract_x
_atom_site_fract_y
_atom_site_fract_z
Y1 Y 0.3333 0.6667 0.2500
Mg1 Mg 0.0000 0.0000 0.0000
Cu1 Cu 0.3333 0.6667 0.7500
```

***

(10)
A plane-wave DFT calculation with GGA-PBE was carried out for an optimized crystal structure of Na7CeO6.

Results
uncorrected energy: -204.5 eV/cell
magnetic moment: 3.5 Bohr magnetons per cell
formation energy without anion corrections: -1.660 eV per atom

Cell and atoms, written as CIF:
```
data_Na7CeO6
_chemical_formula_sum 'Na21 Ce3 O18'
_cell_length_a 6.6954
_cell_length_b 6.6954
_cell_length_c 16.2908
_cell_angle_alpha 90.00
_cell_angle_beta 90.00
_cell_angle_gamma 120.00
_space_group_name_H-M_alt 'R 3'
_space_group_IT_number 146
_space_group_name_Hall 'R 3'
loop_
_atom_site_label
_atom_site_type_symbol
_atom_site_fract_x
_atom_site_fract_y
_atom_site_fract_z
Na1 Na 0.0000 0.0000 0.0000
Na2 Na 0.0122 0.3973 0.4553
Na3 Na 0.0140 0.7378 0.5725
Ce1 Ce 0.0000 0.0000 0.3480
O1 O 0.0616 0.6760 0.0930
O2 O 0.0646 0.3567 0.9362
```

***

(11)
A plane-wave DFT calculation with GGA-PBE was carried out for an optimized crystal structure of KAs3.

Results
uncorrected energy: -14.1 eV/cell
distance to the lowest polymorph of the same formula: 0.355 eV per atom
magnetic moment: 0.0 Bohr magnetons per cell
formation energy from the elements: 0.23 eV per atom

Cell and atoms, written as CIF:
```
data_KAs3
_chemical_formula_sum 'K1 As3'
_cell_length_a 4.471
_cell_length_b 4.471
_cell_length_c 4.471
_cell_angle_alpha 90.00
_cell_angle_beta 90.00
_cell_angle_gamma 90.00
_space_group_name_H-M_alt 'P m -3 m'
_space_group_IT_number 221
_space_group_name_Hall '-P 4 2 3'
loop_
_atom_site_label
_atom_site_type_symbol
_atom_site_fract_x
_atom_site_fract_y
_atom_site_fract_z
K1 K 0.000 0.000 0.000
As1 As 0.000 0.500 0.500
```

***

(12)
A plane-wave DFT calculation with GGA-PBE was carried out for an optimized crystal structure of BeBH4.

Results
uncorrected energy: -22.8 eV/cell
distance to the lowest polymorph of the same formula: 0.000 eV per atom
magnetic moment: 0.0 Bohr magnetons per cell

Cell and atoms, written as CIF:
```
data_BeBH4
_chemical_formula_sum 'Be1 B1 H4'
_cell_length_a 3.441
_cell_length_b 3.561
_cell_length_c 3.596
_cell_angle_alpha 87.56
_cell_angle_beta 61.54
_cell_angle_gamma 86.02
_space_group_name_H-M_alt 'P 1'
_space_group_IT_number 1
loop_
_space_group_symop_operation_xyz
'x,y,z'
loop_
_atom_site_label
_atom_site_type_symbol
_atom_site_fract_x
_atom_site_fract_y
_atom_site_fract_z
Be1 Be 0.000 0.000 0.000
B1 B 0.317 0.000 0.367
H1 H 0.025 0.238 0.583
H2 H 0.176 0.744 0.216
H3 H 0.393 0.762 0.587
H4 H 0.612 0.256 0.208
```